Entry 1:
Material: ScGaNi
Method: DFT, GGA-PBE
State: relaxed

Cell and atoms, written as POSCAR:
```
ScGaNi
1.0
5.694 0.000 0.000
-2.847 4.931 0.000
0.000 0.000 10.850
Sc Ga Ni
6 6 6
direct
0.000 0.000 0.000
0.000 0.000 0.333
0.000 0.000 0.667
0.000 0.500 0.167
0.500 0.000 0.500
0.500 0.500 0.833
0.000 0.500 0.466
0.000 0.500 0.868
0.500 0.000 0.201
0.500 0.000 0.799
0.500 0.500 0.132
0.500 0.500 0.534
0.236 0.618 0.667
0.382 0.618 0.333
0.382 0.764 0.000
0.618 0.236 0.000
0.618 0.382 0.333
0.764 0.382 0.667
```

Summary:
* E_form: -43 kJ/mol of atoms
* total magnetic moment: 0.00 μB per formula unit
* total DFT energy (no corrections): -16.46 eV/f.u.

---

Entry 2:
Material: CsRbZnGeOs
Method: DFT, GGA-PBE
State: relaxed

Cell and atoms, written as POSCAR:
```
CsRbZnGeOs
1.0
-2.407 2.541 6.118
2.407 -2.541 6.118
2.407 2.541 -6.118
Cs Rb Zn Ge Os
1 1 1 1 1
direct
0.000 0.000 0.000
0.597 0.597 0.000
0.792 0.292 0.500
0.295 0.795 0.500
0.294 0.294 0.000
```

Summary:
* E_form: 28 kJ/mol of atoms
* total magnetic moment: 0.00 μB per formula unit
* total DFT energy (no corrections): -17.50 eV/f.u.

---

Entry 3:
Material: SrCoSi2
Method: DFT, GGA-PBE
State: relaxed

Cell and atoms, written as POSCAR:
```
SrCoSi2
1.0
4.075 0.000 0.000
0.000 4.075 0.000
0.000 0.000 4.387
Sr Co Si
1 1 2
direct
0.000 0.000 0.000
0.500 0.500 0.000
0.000 0.500 0.500
0.500 0.000 0.500
```

Summary:
* formation energy from raw total energies: 0.4013 eV per atom
* total magnetic moment: 1.10 μB per formula unit
* total DFT energy (no corrections): -18.03 eV/f.u.

---

Entry 4:
Material: Pr2CdIrC
Method: DFT, GGA-PBE
State: relaxed

Cell and atoms, written as POSCAR:
```
Pr2CdIrC
1.0
5.387 0.000 0.000
0.000 5.387 0.000
0.000 0.000 3.897
Pr Cd Ir C
2 1 1 1
direct
0.000 0.500 0.000
0.500 0.000 0.000
0.000 0.000 0.500
0.500 0.500 0.500
0.500 0.500 0.000
```

Summary:
* E_form: -38 kJ/mol of atoms
* total magnetic moment: 0.00 μB per formula unit
* total DFT energy (no corrections): -30.52 eV/f.u.